No. 1
Density functional theory data (GGA-PBE) for a relaxed Dy6HoSc8 crystal. Values from VASP.

Geometry as Quantum ESPRESSO input:
```
&SYSTEM
  ibrav = 0, nat = 15, ntyp = 3
/
ATOMIC_SPECIES
Dy 162.50 Dy.upf
Ho 164.93 Ho.upf
Sc 44.96 Sc.upf
CELL_PARAMETERS angstrom
4.588 2.649 5.749
-4.588 2.649 5.749
0.000 -5.298 5.749
ATOMIC_POSITIONS crystal
Dy 0.171 0.621 0.430
Dy 0.379 0.570 0.829
Dy 0.430 0.171 0.621
Dy 0.570 0.829 0.379
Dy 0.621 0.430 0.171
Dy 0.829 0.379 0.570
Ho 0.000 0.000 0.000
Sc 0.047 0.379 0.872
Sc 0.128 0.953 0.621
Sc 0.232 0.232 0.232
Sc 0.379 0.872 0.047
Sc 0.621 0.128 0.953
Sc 0.768 0.768 0.768
Sc 0.872 0.047 0.379
Sc 0.953 0.621 0.128
```

* crystal system: trigonal
* final energy: -5.330 eV per atom
* N(E_F): 1.689 states/eV/atom
* volume: 419.3 Å³/f.u.
* total moment: 0.00 μB per atom

No. 2
Density functional theory data (GGA-PBE) for a relaxed HgSb2Au2 crystal. Values from VASP.

Geometry as Quantum ESPRESSO input:
```
&SYSTEM
  ibrav = 0, nat = 5, ntyp = 3
/
ATOMIC_SPECIES
Hg 200.59 Hg.upf
Sb 121.76 Sb.upf
Au 196.97 Au.upf
CELL_PARAMETERS angstrom
-2.596 2.596 4.960
2.596 -2.596 4.960
2.596 2.596 -4.960
ATOMIC_POSITIONS crystal
Hg 0.000 0.000 0.000
Sb 0.250 0.750 0.500
Sb 0.750 0.250 0.500
Au 0.355 0.355 0.000
Au 0.645 0.645 0.000
```

* relative energy among the computed polymorphs: 136 meV per atom
* crystal system: tetragonal
* final energy: -2.907 eV per atom
* formation energy from raw total energies: 0.114 eV/atom
* N(E_F): 0.424 states/eV/atom
* volume: 133.7 Å³/f.u.
* total moment: 0.00 μB per atom

No. 3
Density functional theory data (GGA-PBE) for a relaxed Cs2ScSe2O6 crystal. Values from VASP.

Geometry as Quantum ESPRESSO input:
```
&SYSTEM
  ibrav = 0, nat = 11, ntyp = 4
/
ATOMIC_SPECIES
Cs 132.91 Cs.upf
Sc 44.96 Sc.upf
Se 78.96 Se.upf
O 16.00 O.upf
CELL_PARAMETERS angstrom
3.035 1.753 6.862
-3.035 1.753 6.862
0.000 -3.505 6.862
ATOMIC_POSITIONS crystal
Cs 0.221 0.221 0.221
Cs 0.779 0.779 0.779
Sc 0.000 0.000 0.000
Se 0.416 0.416 0.416
Se 0.584 0.584 0.584
O 0.227 0.227 0.730
O 0.227 0.730 0.227
O 0.270 0.773 0.773
O 0.730 0.227 0.227
O 0.773 0.270 0.773
O 0.773 0.773 0.270
```

* crystal system: trigonal
* final energy: -5.580 eV per atom
* formation energy from raw total energies: -1.511 eV/atom
* N(E_F): 0.309 states/eV/atom
* volume: 219.0 Å³/f.u.
* total moment: 0.00 μB per atom

No. 4
Density functional theory data (GGA-PBE) for a relaxed LiCaVBr2 crystal. Values from VASP.

Geometry as Quantum ESPRESSO input:
```
&SYSTEM
  ibrav = 0, nat = 5, ntyp = 4
/
ATOMIC_SPECIES
Li 6.94 Li.upf
Ca 40.08 Ca.upf
V 50.94 V.upf
Br 79.90 Br.upf
CELL_PARAMETERS angstrom
4.994 0.000 0.000
0.000 4.994 0.000
0.000 0.000 5.241
ATOMIC_POSITIONS crystal
Li 0.000 0.000 0.000
Ca 0.500 0.500 0.500
V 0.000 0.000 0.500
Br 0.000 0.500 0.000
Br 0.500 0.000 0.000
```

* crystal system: tetragonal
* final energy: -3.422 eV per atom
* formation energy from raw total energies: -0.146 eV/atom
* N(E_F): 1.668 states/eV/atom
* volume: 130.7 Å³/f.u.
* total moment: 0.99 μB per atom